LiZr3Ir3 | PBE-GGA | relaxed

Cell lengths 6.5948, 6.5948, 6.0780 Å; angles 90.00, 90.00, 89.61 degrees
Closest atoms and distances in Å follow each position.
Element x y z (fractional)
Zr 0.2610 0.7390 0.5000  6 Ir 2.80-2.86, 2 Zr 3.04
Li 0.7564 0.7564 0.0000  6 Ir 2.74-2.77, 2 Zr 3.04
Ir 0.0000 0.0000 0.2501  2 Li 2.74, 6 Zr 2.75-2.86, 2 Ir 3.04
Ir 0.5000 0.0000 0.2468  2 Li 2.77, 6 Zr 2.78-2.80, 2 Ir 3.00-3.08
Zr 0.7390 0.2610 0.5000  6 Ir 2.80-2.86, 2 Zr 3.04
Ir 0.0000 0.0000 0.7499  2 Li 2.74, 6 Zr 2.75-2.86, 2 Ir 3.04
Ir 0.0000 0.5000 0.2468  2 Li 2.77, 6 Zr 2.78-2.80, 2 Ir 3.00-3.08
Ir 0.5000 0.0000 0.7532  2 Li 2.77, 6 Zr 2.78-2.80, 2 Ir 3.00-3.08
Ir 0.0000 0.5000 0.7532  2 Li 2.77, 6 Zr 2.78-2.80, 2 Ir 3.00-3.08
Zr 0.7428 0.2572 0.0000  6 Ir 2.78-2.83, 2 Zr 3.04
Li 0.2436 0.2436 0.0000  6 Ir 2.74-2.77, 2 Zr 3.04
Zr 0.7555 0.7555 0.5000  6 Ir 2.75-2.79, 2 Li 3.04
Zr 0.2572 0.7428 0.0000  6 Ir 2.78-2.83, 2 Zr 3.04
Zr 0.2445 0.2445 0.5000  6 Ir 2.75-2.79, 2 Li 3.04

## Properties
As for the size of the total moment: 0.00 Bohr magnetons per cell. The formation energy comes out at -0.52 eV per atom. As for the crystal system: orthorhombic. The space group is No. 65.

---

Pu5PaGe3 | PBE-GGA | relaxed

Cell lengths 6.1921, 8.6755, 8.6768 Å; angles 119.99, 90.00, 90.00 degrees
Closest atoms and distances in Å follow each position.
Element x y z (fractional)
Ge 0.7500 0.9999 0.6660  5 Pu 2.89-3.10
Ge 0.7500 0.6662 0.0000  5 Pu 2.89-3.10
Pu 0.7500 0.3314 0.0000  5 Ge 2.89-3.10
Pa 0.0000 0.0000 0.0000  2 Pa 3.10, 6 Pu 3.27, 6 Ge 3.28-3.29
Pu 0.5000 0.3336 0.6671  8 Pu 3.10-3.29, 6 Ge 3.28
Pu 0.0000 0.6664 0.3329  8 Pu 3.10-3.29, 6 Ge 3.28
Ge 0.2500 0.0001 0.3340  5 Pu 2.89-3.10
Pu 0.7500 0.0000 0.3316  5 Ge 2.89-3.10
Pu 0.2500 0.3316 0.3316  5 Ge 2.89-3.10
Ge 0.7500 0.3339 0.3340  5 Pu 2.89-3.10
Pa 0.5000 0.0000 0.0000  2 Pa 3.10, 6 Pu 3.27, 6 Ge 3.28-3.29
Ge 0.2500 0.6661 0.6660  5 Pu 2.89-3.10
Ge 0.2500 0.3338 0.0000  5 Pu 2.89-3.10
Pu 0.7500 0.6684 0.6684  5 Ge 2.89-3.10
Pu 0.2500 0.6686 0.0000  5 Ge 2.89-3.10
Pu 0.2500 0.0000 0.6684  5 Ge 2.89-3.10
Pu 0.5000 0.6664 0.3329  8 Pu 3.10-3.29, 6 Ge 3.28
Pu 0.0000 0.3336 0.6671  8 Pu 3.10-3.29, 6 Ge 3.28

## Properties
As for the size of the total moment: 14.14 Bohr magnetons per cell. The formation energy comes out at -0.30 eV per atom. As for the crystal system: hexagonal. The space group is No. 193.

---

BeCd3As | PBE-GGA | relaxed

Cell lengths 4.7462, 4.7462, 4.7462 Å; angles 90.00, 90.00, 90.00 degrees
Closest atoms and distances in Å follow each position.
Element x y z (fractional)
Be 0.0000 0.0000 0.0000  6 Cd 2.37
As 0.5000 0.5000 0.5000  12 Cd 3.36
Cd 0.5000 0.0000 0.0000  2 Be 2.37
Cd 0.0000 0.0000 0.5000  2 Be 2.37
Cd 0.0000 0.5000 0.0000  2 Be 2.37

## Properties
As for the size of the total moment: 0.00 Bohr magnetons per cell. The formation energy comes out at 0.47 eV per atom. As for the crystal system: cubic. The space group is No. 221. For the distance to the lowest polymorph of the same formula, the calculation gives 0.0 meV per atom.

---

MnCd | PBE-GGA | relaxed

Cell lengths 4.0661, 4.0661, 5.2010 Å; angles 66.99, 66.99, 90.00 degrees
Closest atoms and distances in Å follow each position.
Element x y z (fractional)
Mn 0.2500 0.7500 0.5000  8 Cd 2.88-2.97, 4 Mn 2.97
Mn 0.5000 0.5000 0.0000  8 Cd 2.88-2.97, 4 Mn 2.97
Cd 0.7500 0.2500 0.5000  8 Mn 2.88-2.97, 4 Cd 2.97
Cd 0.0000 0.0000 0.0000  8 Mn 2.88-2.97, 4 Cd 2.97

## Properties
As for the size of the total moment: 7.44 Bohr magnetons per cell. The formation energy comes out at 0.36 eV per atom. As for the crystal system: tetragonal. The space group is No. 141.

---

InBi6Pb5 | PBE-GGA | relaxed

Cell lengths 5.0481, 9.2445, 9.2445 Å; angles 102.03, 105.58, 105.58 degrees
Closest atoms and distances in Å follow each position.
Element x y z (fractional)
Pb 0.0000 0.6719 0.3281  4 Pb 3.49-3.53, 8 Bi 3.53-3.65
Bi 0.7502 0.5822 0.9134  4 Bi 3.46-3.52, 7 Pb 3.53-3.67, 1 In 3.56
Bi 0.2498 0.0866 0.4178  4 Bi 3.46-3.52, 7 Pb 3.53-3.67, 1 In 3.56
Pb 0.0000 0.3281 0.6719  4 Pb 3.49-3.53, 8 Bi 3.53-3.65
Bi 0.2504 0.7456 0.7456  4 Bi 3.46-3.48, 6 Pb 3.53-3.64, 2 In 3.68
Pb 0.5000 0.1606 0.8394  2 In 3.42, 2 Pb 3.49, 8 Bi 3.53-3.67
In 0.0000 0.0000 0.0000  4 Pb 3.42, 8 Bi 3.56-3.68
Bi 0.2498 0.4178 0.0866  4 Bi 3.46-3.52, 7 Pb 3.53-3.67, 1 In 3.56
Bi 0.7502 0.9134 0.5822  4 Bi 3.46-3.52, 7 Pb 3.53-3.67, 1 In 3.56
Bi 0.7496 0.2544 0.2544  4 Bi 3.46-3.48, 6 Pb 3.53-3.64, 2 In 3.68
Pb 0.5000 0.5000 0.5000  8 Bi 3.53-3.64, 4 Pb 3.53
Pb 0.5000 0.8394 0.1606  2 In 3.42, 2 Pb 3.49, 8 Bi 3.53-3.67

## Properties
As for the size of the total moment: 0.00 Bohr magnetons per cell. The formation energy comes out at 0.05 eV per atom. As for the crystal system: monoclinic. The space group is No. 12.

---

Tb4SmY2Mg | PBE-GGA | relaxed

Cell lengths 4.9715, 4.9794, 11.2507 Å; angles 63.75, 90.00, 90.00 degrees
Closest atoms and distances in Å follow each position.
Element x y z (fractional)
Tb 0.0000 0.2537 0.2463  2 Mg 3.52, 4 Y 3.52-3.57, 4 Tb 3.52, 2 Sm 3.57
Tb 0.5000 0.7538 0.2462  4 Y 3.51-3.57, 2 Mg 3.52, 4 Tb 3.52, 2 Sm 3.57
Mg 0.5000 0.5000 0.0000  8 Tb 3.52, 4 Y 3.52
Y 0.5000 0.0000 0.5000  4 Sm 3.52, 8 Tb 3.57
Tb 0.5000 0.2462 0.7538  4 Y 3.51-3.57, 2 Mg 3.52, 4 Tb 3.52, 2 Sm 3.57
Sm 0.0000 0.5000 0.5000  4 Y 3.52, 8 Tb 3.57
Y 0.0000 0.0000 0.0000  8 Tb 3.51-3.52, 4 Mg 3.52
Tb 0.0000 0.7463 0.7537  2 Mg 3.52, 4 Y 3.52-3.57, 4 Tb 3.52, 2 Sm 3.57

## Properties
As for the size of the total moment: 0.00 Bohr magnetons per cell. The formation energy comes out at 0.02 eV per atom. As for the crystal system: tetragonal. The space group is No. 123.

---

SbPW | PBE-GGA | relaxed

Cell lengths 4.3492, 4.3492, 4.3492 Å; angles 60.00, 60.00, 60.00 degrees
Closest atoms and distances in Å follow each position.
Element x y z (fractional)
W 0.5000 0.5000 0.5000  4 P 2.66
Sb 0.0000 0.0000 0.0000  4 P 2.66
P 0.2500 0.2500 0.2500  4 W 2.66, 4 Sb 2.66

## Properties
The energy relative to the elements, uncorrected is 0.88 eV per atom. As for the size of the total moment: 0.00 Bohr magnetons per cell. As for the crystal system: cubic. The space group is No. 216. For the distance to the lowest polymorph of the same formula, the calculation gives 774.0 meV per atom.

---

Ac5Pr2Tm2 | PBE-GGA | relaxed

Cell lengths 6.5694, 9.3877, 8.5808 Å; angles 137.02, 97.53, 89.91 degrees
Closest atoms and distances in Å follow each position.
Element x y z (fractional)
Pr 0.5558 0.2219 0.3298  3 Tm 3.77-3.83, 2 Pr 3.79-3.82, 7 Ac 3.79-3.87
Ac 0.0000 0.0000 0.0000  4 Pr 3.79, 2 Tm 3.82, 6 Ac 3.84-3.87
Tm 0.6626 0.6670 0.9966  8 Ac 3.70-3.86, 3 Pr 3.77-3.83, 1 Tm 3.84
Ac 0.7743 0.1179 0.6687  6 Ac 3.77-3.87, 4 Tm 3.77-3.86, 2 Pr 3.81-3.87
Ac 0.1202 0.4468 0.6732  3 Tm 3.70-3.85, 6 Ac 3.78-3.93, 3 Pr 3.79-3.87
Ac 0.8798 0.5532 0.3268  3 Tm 3.70-3.85, 6 Ac 3.78-3.93, 3 Pr 3.79-3.87
Ac 0.2257 0.8821 0.3313  6 Ac 3.77-3.87, 4 Tm 3.77-3.86, 2 Pr 3.81-3.87
Tm 0.3374 0.3330 0.0034  8 Ac 3.70-3.86, 3 Pr 3.77-3.83, 1 Tm 3.84
Pr 0.4442 0.7781 0.6702  3 Tm 3.77-3.83, 2 Pr 3.79-3.82, 7 Ac 3.79-3.87

## Properties
As for the size of the total moment: 0.00 Bohr magnetons per cell. The formation energy comes out at 0.05 eV per atom. As for the crystal system: triclinic. The space group is No. 2.

---

CsRb2UCl6 | PBE-GGA | relaxed

Cell lengths 7.9963, 8.5011, 11.4496 Å; angles 90.00, 89.00, 90.00 degrees
Closest atoms and distances in Å follow each position.
Element x y z (fractional)
U 0.5000 0.0000 0.5000  6 Cl 2.75-2.78
Rb 0.4734 0.4316 0.2422  6 Cl 3.33-3.72
Rb 0.0266 0.9316 0.2578  6 Cl 3.33-3.72
Cl 0.7227 0.3273 0.9405  1 U 2.75
Rb 0.5266 0.5684 0.7578  6 Cl 3.33-3.72
Cl 0.1386 0.4281 0.7826  1 U 2.78
Cl 0.1584 0.2346 0.0874  1 U 2.78
Cs 0.5000 0.0000 0.0000  6 Cl 3.37-3.51
Cl 0.8416 0.7654 0.9126  1 U 2.78
Cl 0.3614 0.9281 0.7174  1 U 2.78
Cs 0.0000 0.5000 0.5000  6 Cl 3.37-3.51
U 0.0000 0.5000 0.0000  6 Cl 2.75-2.78
Cl 0.6584 0.2654 0.5874  1 U 2.78
Cl 0.2773 0.6727 0.0595  1 U 2.75
Rb 0.9734 0.0684 0.7422  6 Cl 3.33-3.72
Cl 0.6386 0.0719 0.2826  1 U 2.78
Cl 0.8614 0.5719 0.2174  1 U 2.78
Cl 0.3416 0.7346 0.4126  1 U 2.78
Cl 0.7773 0.8273 0.5595  1 U 2.75
Cl 0.2227 0.1727 0.4405  1 U 2.75

## Properties
The energy relative to the elements, uncorrected is -1.88 eV per atom. As for the size of the total moment: 6.00 Bohr magnetons per cell. As for the crystal system: monoclinic. The space group is No. 14.

---

Ac2CeCrN4 | PBE-GGA | relaxed

Cell lengths 3.6887, 6.9155, 12.6839 Å; angles 90.00, 90.00, 105.47 degrees
Closest atoms and distances in Å follow each position.
Element x y z (fractional)
Ac 0.6273 0.2545 0.0408  4 N 2.56-2.67
Ac 0.3727 0.7455 0.9592  4 N 2.56-2.67
N 0.2818 0.5635 0.1393  1 Cr 1.93
N 0.0000 0.0000 0.0000  4 Ac 2.56
Ce 0.8472 0.6944 0.2500  5 N 2.48-2.67
Ac 0.6273 0.2545 0.4592  4 N 2.56-2.67
N 0.3532 0.7064 0.7500  2 Cr 1.90
Cr 0.1824 0.3648 0.2500  4 N 1.90-1.93
Ac 0.3727 0.7455 0.5408  4 N 2.56-2.67
Cr 0.8176 0.6352 0.7500  4 N 1.90-1.93
N 0.7182 0.4365 0.6393  1 Cr 1.93
Ce 0.1528 0.3056 0.7500  5 N 2.48-2.67
N 0.7182 0.4365 0.8607  1 Cr 1.93
N 0.2818 0.5635 0.3607  1 Cr 1.93
N 0.6468 0.2936 0.2500  2 Cr 1.90
N 0.0000 0.0000 0.5000  4 Ac 2.56

## Properties
The energy relative to the elements, uncorrected is -0.85 eV per atom. As for the size of the total moment: 6.46 Bohr magnetons per cell. As for the crystal system: orthorhombic. The space group is No. 63.

---

ZrTiReAu | PBE-GGA | relaxed

Cell lengths 4.6389, 4.6389, 4.6389 Å; angles 60.00, 60.00, 60.00 degrees
Closest atoms and distances in Å follow each position.
Element x y z (fractional)
Au 0.5000 0.5000 0.5000  4 Zr 2.84, 4 Ti 2.84
Zr 0.2500 0.2500 0.2500  4 Re 2.84, 4 Au 2.84
Ti 0.7500 0.7500 0.7500  4 Re 2.84, 4 Au 2.84
Re 0.0000 0.0000 0.0000  4 Zr 2.84, 4 Ti 2.84

## Properties
As for the size of the total moment: 0.00 Bohr magnetons per cell. The formation energy comes out at -0.27 eV per atom. As for the crystal system: cubic. The space group is No. 216.

---

| no. | electronic total energy (eV per atom) |
| --- | --- |
| 1 | -8.251 |
| 2 | -10.856 |
| 3 | -1.756 |
| 4 | -4.682 |
| 5 | -3.669 |
| 6 | -4.701 |
| 7 | -6.615 |
| 8 | -4.286 |
| 9 | -4.400 |
| 10 | -7.983 |
| 11 | -8.316 |